[1]
Here is a geometry-optimized RbTc2As2 structure from Alexandria. Energies are from PBE-GGA.

Cell: 3.879 3.879 15.452 Å, 90.00 90.00 90.00°
Space group I4/mmm (No. 139)
One atom of each set of equivalent atoms:
Rb 0.000 0.000 0.000 x2
Tc 0.000 0.500 0.250 x4
As 0.000 0.000 0.355 x4

Density of states at the Fermi level, states/eV per atom: 0.8732
Formation enthalpy at 0 K, kJ/mol of formula units: -121
DFT total energy, eV/atom: -6.451
Calculated density, Mg/m³: 6.16
Offset from the most stable computed form, kJ/mol of atoms: 0.0

***

[2]
Here is a geometry-optimized RbTcAs2 structure from Alexandria. Energies are from PBE-GGA.

Cell: 4.3026 4.3026 23.1054 Å, 90.00 90.00 120.00°
Space group R-3m (No. 166, hexagonal axes)
One atom of each set of equivalent atoms:
Rb 0.0000 0.0000 0.0000 x3
Tc 0.0000 0.0000 0.5000 x3
As 0.0000 0.0000 0.1405 x6

Density of states at the Fermi level, states/eV per atom: 0.4914
Formation enthalpy at 0 K, kJ/mol of formula units: 75
DFT total energy, eV/atom: -4.965
Calculated density, Mg/m³: 4.48
Offset from the most stable computed form, kJ/mol of atoms: 35.1

***

[3]
Here is a geometry-optimized Rb2Tc2As structure from Alexandria. Energies are from PBE-GGA.

Cell: 7.074 7.074 7.078 Å, 90.00 90.00 90.00°
Space group I4/mmm (No. 139)
One atom of each set of equivalent atoms:
Rb 0.000 0.500 0.250 x4
Tc 0.000 0.000 0.146 x4
As 0.000 0.000 0.500 x2

Density of states at the Fermi level, states/eV per atom: 0.6438
Formation enthalpy at 0 K, kJ/mol of formula units: 505
DFT total energy, eV/atom: -4.418
Calculated density, Mg/m³: 4.14
Offset from the most stable computed form, kJ/mol of atoms: 0.0

***

[4]
Here is a geometry-optimized RbTcAs structure from Alexandria. Energies are from PBE-GGA.

Cell: 3.974 3.974 11.861 Å, 90.00 90.00 90.00°
Space group P4/nmm (No. 129, origin choice 2)
One atom of each set of equivalent atoms:
Rb 0.250 0.250 0.204 x2
Tc 0.250 0.750 0.500 x2
As 0.250 0.250 0.631 x2

Density of states at the Fermi level, states/eV per atom: 1.0516
Formation enthalpy at 0 K, kJ/mol of formula units: -64
DFT total energy, eV/atom: -5.548
Calculated density, Mg/m³: 4.58

***

[5]
Here is a geometry-optimized RbTcAs3 structure from Alexandria. Energies are from PBE-GGA.

Cell: 5.232 5.232 5.232 Å, 90.00 90.00 90.00°
Space group Pm-3m (No. 221)
One atom of each set of equivalent atoms:
Rb 0.000 0.000 0.000 x1
Tc 0.500 0.500 0.500 x1
As 0.000 0.000 0.500 x3

Density of states at the Fermi level, states/eV per atom: 1.9561
Formation enthalpy at 0 K, kJ/mol of formula units: 1260
DFT total energy, eV/atom: -2.444
Calculated density, Mg/m³: 4.73
Offset from the most stable computed form, kJ/mol of atoms: 235.1

***

[6]
Here is a geometry-optimized RbTc2As structure from Alexandria. Energies are from PBE-GGA.

Cell: 4.878 4.878 17.709 Å, 90.00 90.00 90.00°
Space group I4_1/amd (No. 141, origin choice 2)
One atom of each set of equivalent atoms:
Rb 0.000 0.250 0.375 x4
Tc 0.000 0.000 0.000 x8
As 0.000 0.250 0.875 x4

Density of states at the Fermi level, states/eV per atom: 1.0035
Formation enthalpy at 0 K, kJ/mol of formula units: 335
DFT total energy, eV/atom: -5.720
Calculated density, Mg/m³: 5.62

***

[7]
Here is a geometry-optimized RbTcAs2 structure from Alexandria. Energies are from PBE-GGA.

Cell: 3.138 3.138 8.428 Å, 90.00 90.00 90.00°
Space group P4/mmm (No. 123)
One atom of each set of equivalent atoms:
Rb 0.000 0.000 0.000 x1
Tc 0.000 0.000 0.500 x1
As 0.500 0.500 0.322 x2

Density of states at the Fermi level, states/eV per atom: 0.0901
Formation enthalpy at 0 K, kJ/mol of formula units: -66
DFT total energy, eV/atom: -5.329
Calculated density, Mg/m³: 6.67
Offset from the most stable computed form, kJ/mol of atoms: 0.0

***

[8]
Here is a geometry-optimized RbTcAs2 structure from Alexandria. Energies are from PBE-GGA.

Cell: 6.402 6.402 13.370 Å, 90.00 90.00 90.00°
Space group I-42d (No. 122)
One atom of each set of equivalent atoms:
Rb 0.000 0.000 0.000 x4
Tc 0.000 0.000 0.500 x4
As 0.001 0.250 0.625 x8

Density of states at the Fermi level, states/eV per atom: 0.2219
Formation enthalpy at 0 K, kJ/mol of formula units: -48
DFT total energy, eV/atom: -5.282
Calculated density, Mg/m³: 4.04
Offset from the most stable computed form, kJ/mol of atoms: 4.6

***

[9]
Here is a geometry-optimized RbTc2As2 structure from Alexandria. Energies are from PBE-GGA.

Cell: 3.832 3.832 7.890 Å, 90.00 90.00 90.00°
Space group P4/mmm (No. 123)
One atom of each set of equivalent atoms:
Rb 0.000 0.000 0.000 x1
Tc 0.000 0.500 0.500 x2
As 0.500 0.500 0.282 x2

Density of states at the Fermi level, states/eV per atom: 0.8537
Formation enthalpy at 0 K, kJ/mol of formula units: -14
DFT total energy, eV/atom: -6.228
Calculated density, Mg/m³: 6.18
Offset from the most stable computed form, kJ/mol of atoms: 21.5

***

[10]
Here is a geometry-optimized RbTcAs2 structure from Alexandria. Energies are from PBE-GGA.

Cell: 6.886 6.886 6.886 Å, 90.00 90.00 90.00°
Space group Fm-3m (No. 225)
One atom of each set of equivalent atoms:
Rb 0.000 0.000 0.000 x4
Tc 0.000 0.000 0.500 x4
As 0.250 0.250 0.250 x8

Density of states at the Fermi level, states/eV per atom: 1.6944
Formation enthalpy at 0 K, kJ/mol of formula units: 278
DFT total energy, eV/atom: -4.437
Calculated density, Mg/m³: 6.78
Offset from the most stable computed form, kJ/mol of atoms: 86.1

***

[11]
Here is a geometry-optimized RbTiTcAs2 structure from Alexandria. Energies are from PBE-GGA.

Cell: 5.489 5.489 4.920 Å, 90.00 90.00 90.00°
Space group P4/mmm (No. 123)
One atom of each set of equivalent atoms:
Rb 0.000 0.000 0.000 x1
Ti 0.000 0.000 0.500 x1
Tc 0.500 0.500 0.500 x1
As 0.000 0.500 0.000 x2

Density of states at the Fermi level, states/eV per atom: 1.1948
Formation enthalpy at 0 K, kJ/mol of formula units: 1180
DFT total energy, eV/atom: -3.260
Calculated density, Mg/m³: 4.27

***

[12]
Here is a geometry-optimized RbVTcAs2 structure from Alexandria. Energies are from PBE-GGA.

Cell: 5.564 5.564 4.889 Å, 90.00 90.00 90.00°
Space group P4/mmm (No. 123)
One atom of each set of equivalent atoms:
Rb 0.000 0.000 0.000 x1
V 0.000 0.000 0.500 x1
Tc 0.500 0.500 0.500 x1
As 0.000 0.500 0.000 x2

Density of states at the Fermi level, states/eV per atom: 1.3091
Formation enthalpy at 0 K, kJ/mol of formula units: 1232
DFT total energy, eV/atom: -3.396
Calculated density, Mg/m³: 4.22

***

[13]
Here is a geometry-optimized Rb2Te5As structure from Alexandria. Energies are from PBE-GGA.

Cell: 6.856 7.038 7.428 Å, 108.61 100.71 94.97°
Space group P1 (No. 1)
One atom of each set of equivalent atoms:
Rb 0.000 0.000 0.000 x1
Rb 0.425 0.612 0.041 x1
Te 0.099 0.437 0.513 x1
Te 0.315 0.080 0.546 x1
Te 0.531 0.138 0.059 x1
Te 0.549 0.630 0.559 x1
Te 0.919 0.798 0.449 x1
As 0.647 0.250 0.437 x1

Density of states at the Fermi level, states/eV per atom: 0.3058
DFT total energy, eV/atom: -3.185
Calculated density, Mg/m³: 4.45
Formation energy without anion corrections, kJ/mol of formula units: -307

***

[14]
Here is a geometry-optimized RbTe3As2 structure from Alexandria. Energies are from PBE-GGA.

Cell: 11.560 11.255 7.049 Å, 90.00 90.00 90.00°
Space group Cmcm (No. 63)
One atom of each set of equivalent atoms:
Rb 0.000 0.173 0.250 x4
Te 0.000 0.414 0.750 x4
Te 0.201 0.139 0.750 x8
As 0.179 0.500 0.000 x8

Density of states at the Fermi level, states/eV per atom: 0.1714
DFT total energy, eV/atom: -3.463
Calculated density, Mg/m³: 4.48
Offset from the most stable computed form, kJ/mol of atoms: 1.8
Formation energy without anion corrections, kJ/mol of formula units: -105

***

[15]
Here is a geometry-optimized Rb2TeAs structure from Alexandria. Energies are from PBE-GGA.

Cell: 8.682 8.682 8.682 Å, 90.00 90.00 90.00°
Space group Fm-3m (No. 225)
One atom of each set of equivalent atoms:
Rb 0.250 0.250 0.250 x8
Te 0.000 0.000 0.000 x4
As 0.000 0.000 0.500 x4

Density of states at the Fermi level, states/eV per atom: 0.1645
DFT total energy, eV/atom: -2.608
Calculated density, Mg/m³: 3.79
Offset from the most stable computed form, kJ/mol of atoms: 13.8
Formation energy without anion corrections, kJ/mol of formula units: -68

***

[16]
Here is a geometry-optimized RbTe3As2 structure from Alexandria. Energies are from PBE-GGA.

Cell: 7.347 7.554 9.041 Å, 72.27 80.17 66.95°
Space group P1 (No. 1)
One atom of each set of equivalent atoms:
Rb 0.000 0.000 0.000 x1
Rb 0.238 0.498 0.776 x1
Te 0.386 0.469 0.355 x1
Te 0.396 0.919 0.636 x1
Te 0.433 0.074 0.123 x1
Te 0.875 0.399 0.606 x1
Te 0.910 0.518 0.146 x1
Te 0.928 0.944 0.430 x1
As 0.132 0.202 0.401 x1
As 0.547 0.372 0.100 x1
As 0.621 0.138 0.587 x1
As 0.665 0.683 0.352 x1

Density of states at the Fermi level, states/eV per atom: 0.1513
DFT total energy, eV/atom: -3.482
Calculated density, Mg/m³: 4.68
Offset from the most stable computed form, kJ/mol of atoms: 0.0
Formation energy without anion corrections, kJ/mol of formula units: -116

***

[17]
Here is a geometry-optimized Rb5Te5As2 structure from Alexandria. Energies are from PBE-GGA.

Cell: 15.318 5.188 13.156 Å, 90.00 102.83 90.00°
Space group C2/m (No. 12)
One atom of each set of equivalent atoms:
Rb 0.000 0.000 0.000 x2
Rb 0.157 0.000 0.582 x4
Rb 0.220 0.500 0.133 x4
Te 0.000 0.500 0.500 x2
Te 0.106 0.500 0.858 x4
Te 0.126 0.000 0.286 x4
As 0.041 0.500 0.297 x4

Density of states at the Fermi level, states/eV per atom: 0.1455
DFT total energy, eV/atom: -3.107
Calculated density, Mg/m³: 3.96
Formation energy without anion corrections, kJ/mol of formula units: -717

***

[18]
Here is a geometry-optimized Rb4Te4As structure from Alexandria. Energies are from PBE-GGA.

Cell: 10.961 10.961 7.286 Å, 90.00 90.00 90.00°
Space group I4/m (No. 87)
One atom of each set of equivalent atoms:
Rb 0.078 0.300 0.000 x8
Te 0.085 0.242 0.500 x8
As 0.000 0.000 0.500 x2

Density of states at the Fermi level, states/eV per atom: 0.8707
DFT total energy, eV/atom: -2.861
Calculated density, Mg/m³: 3.52
Offset from the most stable computed form, kJ/mol of atoms: 10.5
Formation energy without anion corrections, kJ/mol of formula units: -450

***

[19]
Here is a geometry-optimized Rb3Te4As2 structure from Alexandria. Energies are from PBE-GGA.

Cell: 14.152 12.644 9.047 Å, 90.00 100.05 90.00°
Space group C2/c (No. 15)
One atom of each set of equivalent atoms:
Rb 0.000 0.108 0.250 x4
Rb 0.148 0.373 0.640 x8
Te 0.119 0.316 0.035 x8
Te 0.178 0.065 0.610 x8
As 0.199 0.127 0.898 x8

Density of states at the Fermi level, states/eV per atom: 0.2764
DFT total energy, eV/atom: -3.264
Calculated density, Mg/m³: 3.82
Offset from the most stable computed form, kJ/mol of atoms: 4.8
Formation energy without anion corrections, kJ/mol of formula units: -445

***

[20]
Here is a geometry-optimized RbTeAs structure from Alexandria. Energies are from PBE-GGA.

Cell: 10.734 6.744 7.745 Å, 90.00 119.92 90.00°
Space group C2/m (No. 12)
One atom of each set of equivalent atoms:
Rb 0.189 0.000 0.271 x4
Te 0.174 0.000 0.756 x4
As 0.072 0.500 0.927 x4

Density of states at the Fermi level, states/eV per atom: 0.0125
DFT total energy, eV/atom: -3.413
Calculated density, Mg/m³: 3.94
Offset from the most stable computed form, kJ/mol of atoms: 2.1
Formation energy without anion corrections, kJ/mol of formula units: -143